## Co3GeAu (GGA-PBE)

Data for a geometry-optimized Co3GeAu structure.

Output
offset from the most stable computed form = 0 meV/atom
energy relative to the elements = 0.820 eV/atom
magnetic moment = 4.10 Bohr magnetons per cell

```
data_Co3GeAu
_cell_length_a 4.325
_cell_length_b 4.325
_cell_length_c 4.325
_cell_angle_alpha 90.00
_cell_angle_beta 90.00
_cell_angle_gamma 90.00
_space_group_name_H-M_alt 'P m -3 m'
_space_group_IT_number 221
_space_group_name_Hall '-P 4 2 3'
loop_
_atom_site_label
_atom_site_fract_x
_atom_site_fract_y
_atom_site_fract_z
Co1 0.000 0.000 0.500
Ge1 0.000 0.000 0.000
Au1 0.500 0.500 0.500
```

=====

## CoGeAu3 (GGA-PBE)

Data for a geometry-optimized CoGeAu3 structure.

Output
offset from the most stable computed form = 83 meV/atom
energy relative to the elements = 0.846 eV/atom
magnetic moment = 2.21 Bohr magnetons per cell

```
data_CoGeAu3
_cell_length_a 4.820
_cell_length_b 4.820
_cell_length_c 4.820
_cell_angle_alpha 90.00
_cell_angle_beta 90.00
_cell_angle_gamma 90.00
_space_group_name_H-M_alt 'P m -3 m'
_space_group_IT_number 221
_space_group_name_Hall '-P 4 2 3'
loop_
_atom_site_label
_atom_site_fract_x
_atom_site_fract_y
_atom_site_fract_z
Co1 0.000 0.000 0.000
Ge1 0.500 0.500 0.500
Au1 0.000 0.500 0.500
```

=====

## Co2Ge2Au (GGA-PBE)

Data for a geometry-optimized Co2Ge2Au structure.

Output
offset from the most stable computed form = 20 meV/atom
energy relative to the elements = -0.035 eV/atom
magnetic moment = 0.03 Bohr magnetons per cell

```
data_Co2Ge2Au
_cell_length_a 7.037
_cell_length_b 7.037
_cell_length_c 2.763
_cell_angle_alpha 90.00
_cell_angle_beta 90.00
_cell_angle_gamma 90.00
_space_group_name_H-M_alt 'P 4/m b m'
_space_group_IT_number 127
_space_group_name_Hall '-P 4 2ab'
loop_
_atom_site_label
_atom_site_fract_x
_atom_site_fract_y
_atom_site_fract_z
Co1 0.141 0.359 0.000
Ge1 0.150 0.650 0.500
Au1 0.000 0.000 0.500
```

=====

## Co2GeAu2 (GGA-PBE)

Data for a geometry-optimized Co2GeAu2 structure.

Output
offset from the most stable computed form = 381 meV/atom
energy relative to the elements = 0.492 eV/atom
magnetic moment = 6.80 Bohr magnetons per cell

```
data_Co2GeAu2
_cell_length_a 3.774
_cell_length_b 3.774
_cell_length_c 12.000
_cell_angle_alpha 90.00
_cell_angle_beta 90.00
_cell_angle_gamma 90.00
_space_group_name_H-M_alt 'I 4/m m m'
_space_group_IT_number 139
_space_group_name_Hall '-I 4 2'
loop_
_atom_site_label
_atom_site_fract_x
_atom_site_fract_y
_atom_site_fract_z
Co1 0.000 0.000 0.090
Ge1 0.000 0.000 0.500
Au1 0.000 0.500 0.250
```

=====

## Co2Ge2Au (GGA-PBE)

Data for a geometry-optimized Co2Ge2Au structure.

Output
offset from the most stable computed form = 147 meV/atom
energy relative to the elements = 0.092 eV/atom
magnetic moment = 0.00 Bohr magnetons per cell

```
data_Co2Ge2Au
_cell_length_a 3.702
_cell_length_b 3.702
_cell_length_c 10.703
_cell_angle_alpha 90.00
_cell_angle_beta 90.00
_cell_angle_gamma 90.00
_space_group_name_H-M_alt 'I 4/m m m'
_space_group_IT_number 139
_space_group_name_Hall '-I 4 2'
loop_
_atom_site_label
_atom_site_fract_x
_atom_site_fract_y
_atom_site_fract_z
Co1 0.000 0.000 0.111
Ge1 0.000 0.500 0.250
Au1 0.000 0.000 0.500
```

=====

## Co3GeAu (GGA-PBE)

Data for a geometry-optimized Co3GeAu structure.

Output
offset from the most stable computed form = 635 meV/atom
energy relative to the elements = 1.456 eV/atom
magnetic moment = 5.84 Bohr magnetons per cell

```
data_Co3GeAu
_cell_length_a 4.679
_cell_length_b 4.679
_cell_length_c 4.679
_cell_angle_alpha 90.00
_cell_angle_beta 90.00
_cell_angle_gamma 90.00
_space_group_name_H-M_alt 'P m -3 m'
_space_group_IT_number 221
_space_group_name_Hall '-P 4 2 3'
loop_
_atom_site_label
_atom_site_fract_x
_atom_site_fract_y
_atom_site_fract_z
Co1 0.000 0.000 0.500
Ge1 0.500 0.500 0.500
Au1 0.000 0.000 0.000
```

=====

## La2CoGeAu (GGA-PBE)

Data for a geometry-optimized La2CoGeAu structure.

Output
energy relative to the elements = -0.522 eV/atom
magnetic moment = 0.00 Bohr magnetons per cell

```
data_La2CoGeAu
_cell_length_a 5.357
_cell_length_b 5.357
_cell_length_c 4.418
_cell_angle_alpha 90.00
_cell_angle_beta 90.00
_cell_angle_gamma 90.00
_space_group_name_H-M_alt 'P 4/m m m'
_space_group_IT_number 123
_space_group_name_Hall '-P 4 2'
loop_
_atom_site_label
_atom_site_fract_x
_atom_site_fract_y
_atom_site_fract_z
La1 0.000 0.500 0.000
Co1 0.000 0.000 0.000
Ge1 0.000 0.000 0.500
Au1 0.500 0.500 0.500
```

=====

## Pa2Co2Ge7Au (GGA-PBE)

Data for a geometry-optimized Pa2Co2Ge7Au structure.

Output
energy relative to the elements = -0.222 eV/atom
magnetic moment = 0.00 Bohr magnetons per cell

```
data_Pa2Co2Ge7Au
_cell_length_a 5.590
_cell_length_b 5.819
_cell_length_c 13.731
_cell_angle_alpha 90.00
_cell_angle_beta 95.64
_cell_angle_gamma 90.00
_space_group_name_H-M_alt 'C 1 2/m 1'
_space_group_IT_number 12
_space_group_name_Hall '-C 2y'
loop_
_atom_site_label
_atom_site_fract_x
_atom_site_fract_y
_atom_site_fract_z
Pa1 0.198 0.000 0.150
Co1 0.155 0.500 0.218
Ge1 0.000 0.500 0.500
Ge2 0.030 0.231 0.675
Ge3 0.198 0.500 0.053
Au1 0.000 0.000 0.500
```

=====

Question: magnetic moment of number 6 (Co3GeAu)?
Answer: 5.84 Bohr magnetons per cell